Record 1
SiTcRu4 | PBE | optimized geometry

```
SiTcRu4
1.0
0.000 3.551 3.551
3.551 0.000 3.551
3.551 3.551 0.000
Si Tc Ru
1 1 4
Cartesian
0.000 0.000 0.000
1.775 1.775 1.775
4.440 2.661 2.661
2.661 4.440 2.661
2.661 2.661 4.440
4.440 4.440 4.440
```

Results
**Raw formation energy**: 0.614 eV/atom
**E_tot**: -49.2 eV for the cell shown



Record 2
RbSrEu | PBE | optimized geometry

```
RbSrEu
1.0
-2.095 2.095 10.192
2.095 -2.095 10.192
2.095 2.095 -10.192
Rb Sr Eu
1 1 1
Cartesian
0.000 0.000 0.000
0.000 0.000 13.900
0.000 0.000 6.635
```

Results
**Energy of formation**: 0.152 eV/atom
**ΔE to the lowest computed polymorph**: 14 meV/atom
**E_tot**: -12.5 eV for the cell shown



Record 3
ThUSn2 | PBE | optimized geometry

```
ThUSn2
1.0
3.479 0.000 0.000
0.000 3.479 0.000
0.000 0.000 8.969
Th U Sn
1 1 2
Cartesian
0.000 0.000 0.000
0.000 0.000 4.485
1.739 1.739 2.304
1.739 1.739 6.666
```

Results
**Energy of formation**: -0.210 eV/atom
**ΔE to the lowest computed polymorph**: 0 meV/atom
**E_tot**: -27.6 eV for the cell shown



Record 4
Mn4CoOs2 | PBE | optimized geometry

```
Mn4CoOs2
1.0
-2.963 2.963 2.841
2.963 -2.963 2.841
2.963 2.963 -2.841
Mn Co Os
4 1 2
Cartesian
1.481 1.481 -1.421
1.481 -1.481 1.421
-1.481 1.481 1.421
1.481 1.481 1.421
0.000 0.000 0.000
2.963 0.000 0.000
0.000 2.963 0.000
```

Results
**Energy of formation**: 0.366 eV/atom
**E_tot**: -63.7 eV for the cell shown



Record 5
Cd2SnIr | PBE | optimized geometry

```
Cd2SnIr
1.0
1.474 0.851 11.547
-1.474 0.851 11.547
0.000 -1.701 11.547
Cd Sn Ir
2 1 1
Cartesian
0.000 0.000 2.738
0.000 0.000 31.904
0.000 0.000 17.321
0.000 0.000 0.000
```

Results
**Energy of formation**: 0.491 eV/atom
**E_tot**: -12.7 eV for the cell shown



Record 6
Ta3InRe | PBE | optimized geometry

```
Ta3InRe
1.0
4.888 0.000 0.000
0.000 4.888 0.000
0.000 0.000 4.888
Ta In Re
3 1 1
Cartesian
0.000 0.000 2.444
0.000 2.444 0.000
2.444 0.000 0.000
0.000 0.000 0.000
2.444 2.444 2.444
```

Results
**Energy of formation**: 2.614 eV/atom
**ΔE to the lowest computed polymorph**: 1502 meV/atom
**E_tot**: -37.7 eV for the cell shown



Record 7
Ca2NdEr | PBE | optimized geometry

```
Ca2NdEr
1.0
1.796 1.037 13.157
-1.796 1.037 13.157
0.000 -2.073 13.157
Ca Nd Er
2 1 1
Cartesian
0.000 0.000 3.412
0.000 0.000 36.058
0.000 0.000 19.735
0.000 0.000 0.000
```

Results
**Energy of formation**: 0.247 eV/atom
**ΔE to the lowest computed polymorph**: 135 meV/atom
**E_tot**: -12.3 eV for the cell shown



Record 8
K2SrP | PBE | optimized geometry

```
K2SrP
1.0
2.347 1.355 10.842
-2.347 1.355 10.842
0.000 -2.710 10.842
K Sr P
2 1 1
Cartesian
0.000 0.000 7.059
0.000 0.000 25.466
0.000 0.000 0.000
0.000 0.000 16.263
```

Results
**Energy of formation**: 0.184 eV/atom
**E_tot**: -8.6 eV for the cell shown



Record 9
KRbOs3 | PBE | optimized geometry

```
KRbOs3
1.0
5.077 0.000 0.000
0.000 5.077 0.000
0.000 0.000 5.077
K Rb Os
1 1 3
Cartesian
0.000 0.000 0.000
2.538 2.538 2.538
0.000 2.538 2.538
2.538 0.000 2.538
2.538 2.538 0.000
```

Results
**Energy of formation**: 3.826 eV/atom
**ΔE to the lowest computed polymorph**: 16 meV/atom
**E_tot**: -16.6 eV for the cell shown



Record 10
Ce4Ho2H | PBE | optimized geometry

```
Ce4Ho2H
1.0
-2.400 2.400 8.341
2.400 -2.400 8.341
2.400 2.400 -8.341
Ce Ho H
4 2 1
Cartesian
2.400 0.000 0.000
0.000 0.000 2.566
0.000 2.400 0.000
0.000 0.000 14.116
0.000 0.000 5.970
0.000 0.000 10.712
0.000 0.000 0.000
```

Results
**E_tot**: -35.0 eV for the cell shown



Record 11
CdRe2C | PBE | optimized geometry

```
CdRe2C
1.0
0.000 3.033 3.033
3.033 0.000 3.033
3.033 3.033 0.000
Cd Re C
1 2 1
Cartesian
0.000 0.000 0.000
1.516 1.516 1.516
4.549 4.549 4.549
3.033 3.033 3.033
```

Results
**Energy of formation**: 1.961 eV/atom
**ΔE to the lowest computed polymorph**: 677 meV/atom
**E_tot**: -27.2 eV for the cell shown



Record 12
CrNi2Ru | PBE | optimized geometry

```
CrNi2Ru
1.0
2.988 0.000 0.000
0.000 2.988 0.000
0.000 0.000 5.361
Cr Ni Ru
1 2 1
Cartesian
0.000 0.000 0.000
0.000 0.000 2.455
1.494 1.494 1.275
1.494 1.494 3.967
```

Results
**Energy of formation**: 0.102 eV/atom
**E_tot**: -30.1 eV for the cell shown



Record 13
Ac2Pr3Nd4 | PBE | optimized geometry

```
Ac2Pr3Nd4
1.0
8.963 0.000 0.000
0.000 8.951 0.000
-3.423 0.000 8.552
Ac Pr Nd
4 6 8
Cartesian
1.395 1.347 0.422
-0.316 3.128 4.698
5.856 5.823 3.854
4.145 7.603 8.130
1.367 6.054 2.156
-0.345 7.372 6.432
2.770 0.000 4.276
4.481 4.475 0.000
5.885 1.578 2.120
4.174 2.897 6.396
-2.242 4.794 7.417
-0.530 8.632 3.141
1.363 1.225 7.310
3.074 3.250 3.034
2.466 5.700 5.518
4.178 7.726 1.242
6.070 0.319 5.410
7.782 4.156 1.134
```

Results
**Energy of formation**: 0.147 eV/atom
**ΔE to the lowest computed polymorph**: 73 meV/atom
**E_tot**: -80.6 eV for the cell shown



Record 14
Tm6AuSe3S2 | PBE | optimized geometry

```
Tm6AuSe3S2
1.0
3.455 -5.977 0.000
3.455 5.977 0.000
-2.300 0.000 6.550
Tm Au Se S
6 1 3 2
Cartesian
-0.010 2.025 5.004
1.118 0.000 1.549
-0.010 -2.025 5.004
4.621 2.025 1.546
3.493 0.000 5.001
4.621 -2.025 1.546
3.455 0.000 0.000
-1.150 0.000 3.275
2.305 2.007 3.275
2.305 -2.007 3.275
3.455 3.995 0.000
3.455 -3.995 0.000
```

Results
**Raw formation energy**: -1.630 eV/atom
**E_tot**: -68.4 eV for the cell shown



Record 15
Ta5NbMo4 | PBE | optimized geometry

```
Ta5NbMo4
1.0
3.238 0.000 0.000
0.000 3.238 0.000
0.000 0.000 16.329
Ta Nb Mo
5 1 4
Cartesian
0.000 0.000 0.000
0.000 0.000 3.221
0.000 0.000 6.429
0.000 0.000 9.900
0.000 0.000 13.108
1.619 1.619 8.164
1.619 1.619 1.614
1.619 1.619 4.858
1.619 1.619 11.471
1.619 1.619 14.715
```

Results
**Energy of formation**: -0.162 eV/atom
**E_tot**: -114.3 eV for the cell shown



Record 16
CeTmAlGa | PBE | optimized geometry

```
CeTmAlGa
1.0
0.000 3.600 3.600
3.600 0.000 3.600
3.600 3.600 0.000
Ce Tm Al Ga
1 1 1 1
Cartesian
0.000 0.000 0.000
3.600 3.600 3.600
5.400 5.400 5.400
1.800 1.800 1.800
```

Results
**Energy of formation**: -0.424 eV/atom
**E_tot**: -18.9 eV for the cell shown



Record 17
Pr2NdTm | PBE | optimized geometry

```
Pr2NdTm
1.0
1.829 1.056 11.839
-1.829 1.056 11.839
0.000 -2.111 11.839
Pr Nd Tm
2 1 1
Cartesian
0.000 0.000 8.811
0.000 0.000 26.707
0.000 0.000 0.000
0.000 0.000 17.759
```

Results
**Energy of formation**: 0.017 eV/atom
**ΔE to the lowest computed polymorph**: 4 meV/atom
**E_tot**: -18.7 eV for the cell shown



Record 18
PrZn3IrPt | PBE | optimized geometry

```
PrZn3IrPt
1.0
3.998 -5.568 0.000
3.998 5.568 0.000
0.000 0.000 5.552
Pr Zn Ir Pt
2 6 2 2
Cartesian
3.998 3.249 4.164
3.998 -3.249 1.388
1.924 0.000 0.000
1.924 0.000 2.776
3.998 1.993 1.388
3.998 -1.993 4.164
6.072 0.000 0.000
6.072 0.000 2.776
3.998 0.475 4.164
3.998 -0.475 1.388
3.998 4.529 1.388
3.998 -4.529 4.164
```

Results
**Energy of formation**: -0.365 eV/atom
**E_tot**: -51.4 eV for the cell shown



Record 19
LaInSi2Pd | PBE | optimized geometry

```
LaInSi2Pd
1.0
4.921 0.000 0.000
0.000 4.921 0.000
0.000 0.000 5.962
La In Si Pd
1 1 2 1
Cartesian
0.000 0.000 0.000
0.000 0.000 2.981
0.000 2.460 2.981
2.460 0.000 2.981
2.460 2.460 0.000
```

Results
**Raw formation energy**: 0.893 eV/atom
**E_tot**: -19.2 eV for the cell shown



Record 20
NaBiTe2N | PBE | optimized geometry

```
NaBiTe2N
1.0
6.068 0.000 0.000
0.000 6.068 0.000
0.000 0.000 4.586
Na Bi Te N
1 1 2 1
Cartesian
0.000 0.000 0.000
3.034 3.034 2.293
0.000 3.034 2.293
3.034 0.000 2.293
3.034 3.034 0.000
```

Results
**Raw formation energy**: 0.597 eV/atom
**ΔE to the lowest computed polymorph**: 0 meV/atom
**E_tot**: -16.8 eV for the cell shown



Number 1: total moment 0.00 μB/f.u., calculated volume 89.5 Å³ per cell. Number 2: total moment 7.38 μB/f.u., calculated volume 179.0 Å³ per cell. Number 3: total moment 3.25 μB/f.u., calculated volume 108.5 Å³ per cell. Number 4: total moment 11.86 μB/f.u., calculated volume 99.8 Å³ per cell. Number 5: total moment 0.43 μB/f.u., calculated volume 86.9 Å³ per cell. Number 6: total moment 1.13 μB/f.u., calculated volume 116.8 Å³ per cell. Number 7: total moment 0.57 μB/f.u., calculated volume 147.0 Å³ per cell. Number 8: total moment 0.90 μB/f.u., calculated volume 206.8 Å³ per cell. Number 9: total moment 5.84 μB/f.u., calculated volume 130.9 Å³ per cell. Number 10: total moment 2.92 μB/f.u., calculated volume 192.1 Å³ per cell. Number 11: total moment 0.00 μB/f.u., calculated volume 55.8 Å³ per cell. Number 12: total moment 0.52 μB/f.u., calculated volume 47.9 Å³ per cell. Number 13: total moment 0.00 μB/f.u., calculated volume 686.0 Å³ per cell. Number 14: total moment 0.00 μB/f.u., calculated volume 270.5 Å³ per cell. Number 15: total moment 0.00 μB/f.u., calculated volume 171.2 Å³ per cell. Number 16: total moment 0.75 μB/f.u., calculated volume 93.3 Å³ per cell. Number 17: total moment 0.00 μB/f.u., calculated volume 137.1 Å³ per cell. Number 18: total moment 0.00 μB/f.u., calculated volume 247.2 Å³ per cell. Number 19: total moment 0.00 μB/f.u., calculated volume 144.4 Å³ per cell. Number 20: total moment 2.34 μB/f.u., calculated volume 168.9 Å³ per cell.